# 1
Ac6Ga3H: relaxed, PBE.

The structure in POSCAR format:
```
Ac6Ga3H
1.0
7.050 0.000 0.000
0.000 8.860 0.000
-6.568 0.000 10.535
Ac Ga H
12 6 2
direct
0.081 0.050 0.232
0.081 0.450 0.732
0.192 0.692 0.065
0.192 0.808 0.565
0.413 0.164 0.058
0.413 0.336 0.558
0.587 0.664 0.442
0.587 0.836 0.942
0.808 0.192 0.435
0.808 0.308 0.935
0.919 0.550 0.268
0.919 0.950 0.768
0.314 0.120 0.741
0.314 0.380 0.241
0.500 0.000 0.500
0.500 0.500 0.000
0.686 0.620 0.759
0.686 0.880 0.259
0.000 0.000 0.000
0.000 0.500 0.500
```

Summary:
- energy (eV per cell) = -79.7
- space-group type = P2_1/c

=====

# 2
Ac2GaNiH: relaxed, PBE.

The structure in POSCAR format:
```
Ac2GaNiH
1.0
6.585 0.000 0.000
0.000 4.360 0.000
-2.339 0.000 8.177
Ac Ga Ni H
4 2 2 2
direct
0.225 0.250 0.413
0.241 0.250 0.965
0.759 0.750 0.035
0.775 0.750 0.587
0.344 0.750 0.710
0.656 0.250 0.290
0.447 0.750 0.238
0.553 0.250 0.762
0.186 0.750 0.174
0.814 0.250 0.826
```

Summary:
- energy (eV per cell) = -45.0
- space-group type = P2_1/m

=====

# 3
AcGaPH: relaxed, PBE.

The structure in POSCAR format:
```
AcGaPH
1.0
6.991 0.000 0.000
0.000 6.991 0.000
0.000 0.000 6.991
Ac Ga P H
4 4 4 4
direct
0.000 0.000 0.000
0.000 0.500 0.500
0.500 0.000 0.500
0.500 0.500 0.000
0.000 0.000 0.500
0.000 0.500 0.000
0.500 0.000 0.000
0.500 0.500 0.500
0.250 0.250 0.250
0.250 0.750 0.750
0.750 0.250 0.750
0.750 0.750 0.250
0.250 0.250 0.750
0.250 0.750 0.250
0.750 0.250 0.250
0.750 0.750 0.750
```

Summary:
- energy (eV per cell) = -69.2
- space-group type = F-43m

=====

# 4
Ac2GaHPd6: relaxed, PBE.

The structure in POSCAR format:
```
Ac2GaHPd6
1.0
5.134 -2.967 0.000
5.134 2.967 0.000
-3.407 0.000 6.128
Ac Ga H Pd
2 1 1 6
direct
0.231 0.231 0.194
0.769 0.769 0.806
0.500 0.500 0.000
0.000 0.000 0.500
0.228 0.228 0.689
0.228 0.731 0.688
0.269 0.772 0.312
0.731 0.228 0.688
0.772 0.269 0.312
0.772 0.772 0.311
```

Summary:
- energy (eV per cell) = -52.8
- space-group type = C2/m

=====

# 5
Ac3GaH2Pd6: relaxed, PBE.

The structure in POSCAR format:
```
Ac3GaH2Pd6
1.0
5.859 0.000 0.000
-2.929 5.074 0.000
0.000 0.000 9.051
Ac Ga H Pd
3 1 2 6
direct
0.000 0.000 0.000
0.333 0.667 0.619
0.667 0.333 0.381
0.000 0.000 0.500
0.333 0.667 0.189
0.667 0.333 0.811
0.170 0.339 0.278
0.170 0.830 0.278
0.339 0.170 0.722
0.661 0.830 0.278
0.830 0.170 0.722
0.830 0.661 0.722
```

Summary:
- energy (eV per cell) = -60.4
- space-group type = P-3m1

=====

# 6
AcGaHPt2: relaxed, PBE.

The structure in POSCAR format:
```
AcGaHPt2
1.0
2.058 -5.699 0.000
2.058 5.699 0.000
0.000 0.000 7.480
Ac Ga H Pt
2 2 2 4
direct
0.061 0.939 0.750
0.939 0.061 0.250
0.223 0.777 0.250
0.777 0.223 0.750
0.500 0.500 0.000
0.500 0.500 0.500
0.342 0.658 0.555
0.342 0.658 0.945
0.658 0.342 0.055
0.658 0.342 0.445
```

Summary:
- energy (eV per cell) = -53.5
- space-group type = Cmcm

=====

# 7
AcGaH2Rh2: relaxed, PBE.

The structure in POSCAR format:
```
AcGaH2Rh2
1.0
3.477 -4.931 0.000
3.477 4.931 0.000
0.000 0.000 5.654
Ac Ga H Rh
2 2 4 4
direct
0.230 0.770 0.750
0.770 0.230 0.250
0.423 0.577 0.250
0.577 0.423 0.750
0.072 0.279 0.750
0.279 0.072 0.250
0.721 0.928 0.750
0.928 0.721 0.250
0.221 0.221 0.000
0.221 0.221 0.500
0.779 0.779 0.000
0.779 0.779 0.500
```

Summary:
- energy (eV per cell) = -63.2
- space-group type = Cmcm

=====

# 8
AcGaH8Rh2: relaxed, PBE.

The structure in POSCAR format:
```
AcGaH8Rh2
1.0
4.325 -2.177 0.000
4.325 2.177 0.000
-2.995 0.000 6.988
Ac Ga H Rh
1 1 8 2
direct
0.000 0.000 0.000
0.000 0.000 0.500
0.249 0.466 0.671
0.260 0.260 0.311
0.348 0.348 0.058
0.466 0.249 0.671
0.534 0.751 0.329
0.652 0.652 0.942
0.740 0.740 0.689
0.751 0.534 0.329
0.445 0.445 0.300
0.555 0.555 0.700
```

Summary:
- energy (eV per cell) = -51.5
- space-group type = C2/m

=====

# 9
AcGaSiH: relaxed, PBE.

The structure in POSCAR format:
```
AcGaSiH
1.0
4.322 0.000 0.000
-2.161 3.743 0.000
0.000 0.000 4.688
Ac Ga Si H
1 1 1 1
direct
0.000 0.000 0.000
0.333 0.667 0.504
0.667 0.333 0.538
0.333 0.667 0.112
```

Summary:
- energy (eV per cell) = -17.8
- space-group type = P3m1

=====

# 10
AcHfGa4: relaxed, PBE.

The structure in POSCAR format:
```
AcHfGa4
1.0
0.000 3.970 3.970
3.970 0.000 3.970
3.970 3.970 0.000
Ac Hf Ga
1 1 4
direct
0.000 0.000 0.000
0.750 0.750 0.750
0.376 0.376 0.376
0.376 0.376 0.873
0.376 0.873 0.376
0.873 0.376 0.376
```

Summary:
- energy (eV per cell) = -27.6
- space-group type = F-43m

=====

# 11
AcHfGa2Pd5: relaxed, PBE.

The structure in POSCAR format:
```
AcHfGa2Pd5
1.0
4.815 0.000 0.000
0.000 4.815 0.000
0.000 0.000 7.632
Ac Hf Ga Pd
1 1 2 5
direct
0.000 0.000 0.000
0.000 0.000 0.500
0.500 0.500 0.333
0.500 0.500 0.667
0.000 0.500 0.295
0.000 0.500 0.705
0.500 0.000 0.295
0.500 0.000 0.705
0.500 0.500 0.000
```

Summary:
- energy (eV per cell) = -50.9
- space-group type = P4/mmm

=====

# 12
Ac2Ga2Hg3: relaxed, PBE.

The structure in POSCAR format:
```
Ac2Ga2Hg3
1.0
11.263 0.000 0.000
0.000 4.966 0.000
-1.842 0.000 6.788
Ac Ga Hg
4 4 6
direct
0.145 0.000 0.259
0.355 0.500 0.741
0.645 0.500 0.259
0.855 0.000 0.741
0.087 0.500 0.914
0.413 0.000 0.086
0.587 0.000 0.914
0.913 0.500 0.086
0.000 0.500 0.500
0.167 0.000 0.767
0.333 0.500 0.233
0.500 0.000 0.500
0.667 0.500 0.767
0.833 0.000 0.233
```

Summary:
- energy (eV per cell) = -36.7
- space-group type = C2/m

=====

# 13
AcGaHg: relaxed, PBE.

The structure in POSCAR format:
```
AcGaHg
1.0
4.203 2.427 4.107
-4.203 2.427 4.107
0.000 -4.854 4.107
Ac Ga Hg
3 3 3
direct
0.008 0.665 0.327
0.327 0.008 0.665
0.665 0.327 0.008
0.142 0.142 0.142
0.538 0.538 0.538
0.809 0.809 0.809
0.170 0.501 0.833
0.501 0.833 0.170
0.833 0.170 0.501
```

Summary:
- energy (eV per cell) = -26.8
- relative energy among the computed polymorphs (meV/atom) = 24.3
- space-group type = R3

=====

# 14
Ac6GaHg5: relaxed, PBE.

The structure in POSCAR format:
```
Ac6GaHg5
1.0
-2.847 4.023 8.551
2.847 -4.023 8.551
2.847 4.023 -8.551
Ac Ga Hg
6 1 5
direct
0.082 0.337 0.745
0.241 0.000 0.241
0.408 0.663 0.745
0.592 0.337 0.255
0.759 0.000 0.759
0.918 0.663 0.255
0.000 0.500 0.500
0.171 0.171 0.000
0.334 0.834 0.500
0.500 0.500 0.000
0.666 0.166 0.500
0.829 0.829 0.000
```

Summary:
- energy (eV per cell) = -34.8
- space-group type = Immm

=====

# 15
AcGaHg2: relaxed, PBE.

The structure in POSCAR format:
```
AcGaHg2
1.0
9.206 0.000 0.000
0.000 7.740 0.000
0.000 0.000 6.013
Ac Ga Hg
4 4 8
direct
0.055 0.250 0.134
0.445 0.750 0.634
0.555 0.250 0.366
0.945 0.750 0.866
0.100 0.750 0.359
0.400 0.250 0.859
0.600 0.750 0.141
0.900 0.250 0.641
0.177 0.044 0.643
0.177 0.456 0.643
0.323 0.544 0.143
0.323 0.956 0.143
0.677 0.044 0.857
0.677 0.456 0.857
0.823 0.544 0.357
0.823 0.956 0.357
```

Summary:
- energy (eV per cell) = -36.8
- space-group type = Pnma

=====

# 16
Ac3Ga8Hg3: relaxed, PBE.

The structure in POSCAR format:
```
Ac3Ga8Hg3
1.0
-2.269 5.077 7.273
2.269 -5.077 7.273
2.269 5.077 -7.273
Ac Ga Hg
3 8 3
direct
0.000 0.000 0.000
0.321 0.321 0.000
0.679 0.679 0.000
0.040 0.667 0.373
0.105 0.840 0.265
0.294 0.667 0.627
0.424 0.160 0.265
0.576 0.840 0.735
0.706 0.333 0.373
0.895 0.160 0.735
0.960 0.333 0.627
0.275 0.500 0.775
0.500 0.000 0.500
0.725 0.500 0.225
```

Summary:
- energy (eV per cell) = -43.5
- space-group type = Immm

=====

# 17
AcGaHg: relaxed, PBE.

The structure in POSCAR format:
```
AcGaHg
1.0
4.796 0.000 0.000
0.000 8.340 0.000
0.000 0.000 8.442
Ac Ga Hg
4 4 4
direct
0.000 0.000 0.240
0.000 0.000 0.760
0.500 0.500 0.260
0.500 0.500 0.740
0.000 0.346 0.000
0.000 0.654 0.000
0.500 0.154 0.500
0.500 0.846 0.500
0.000 0.320 0.500
0.000 0.680 0.500
0.500 0.180 0.000
0.500 0.820 0.000
```

Summary:
- energy (eV per cell) = -35.8
- relative energy among the computed polymorphs (meV/atom) = 15.4
- space-group type = Immm

=====

# 18
AcGaHg: relaxed, PBE.

The structure in POSCAR format:
```
AcGaHg
1.0
4.293 0.000 0.000
0.000 4.786 0.000
0.000 0.000 16.677
Ac Ga Hg
4 4 4
direct
0.000 0.250 0.137
0.000 0.750 0.863
0.500 0.250 0.363
0.500 0.750 0.637
0.000 0.250 0.711
0.000 0.750 0.289
0.500 0.250 0.789
0.500 0.750 0.211
0.000 0.250 0.548
0.000 0.750 0.452
0.500 0.250 0.952
0.500 0.750 0.048
```

Summary:
- energy (eV per cell) = -36.0
- relative energy among the computed polymorphs (meV/atom) = 0.0
- space-group type = Imma

=====

# 19
AcGa2Hg: relaxed, PBE.

The structure in POSCAR format:
```
AcGa2Hg
1.0
4.772 0.000 0.000
0.000 4.772 0.000
0.000 0.000 4.624
Ac Ga Hg
1 2 1
direct
0.000 0.000 0.000
0.000 0.500 0.500
0.500 0.000 0.500
0.500 0.500 0.000
```

Summary:
- energy (eV per cell) = -11.7
- relative energy among the computed polymorphs (meV/atom) = 172.4
- space-group type = P4/mmm

=====

# 20
AcGaHg4: relaxed, PBE.

The structure in POSCAR format:
```
AcGaHg4
1.0
2.456 -8.938 0.000
2.456 8.938 0.000
0.000 0.000 7.158
Ac Ga Hg
2 2 8
direct
0.136 0.864 0.500
0.864 0.136 0.000
0.311 0.689 0.286
0.689 0.311 0.786
0.051 0.949 0.980
0.224 0.776 0.959
0.355 0.645 0.675
0.473 0.527 0.209
0.527 0.473 0.709
0.645 0.355 0.175
0.776 0.224 0.459
0.949 0.051 0.480
```

Summary:
- energy (eV per cell) = -20.0
- relative energy among the computed polymorphs (meV/atom) = 0.0
- space-group type = Cmc2_1

=====

# 21
Ac2Ga2Hg: relaxed, PBE.

The structure in POSCAR format:
```
Ac2Ga2Hg
1.0
5.780 -2.437 0.000
5.780 2.437 0.000
-5.640 0.000 10.238
Ac Ga Hg
4 4 2
direct
0.019 0.019 0.331
0.187 0.187 0.101
0.813 0.813 0.899
0.981 0.981 0.669
0.367 0.367 0.444
0.479 0.479 0.107
0.521 0.521 0.893
0.633 0.633 0.556
0.272 0.272 0.657
0.728 0.728 0.343
```

Summary:
- energy (eV per cell) = -34.2
- space-group type = C2/m

=====

# 22
Ac3Ga2Hg: relaxed, PBE.

The structure in POSCAR format:
```
Ac3Ga2Hg
1.0
5.618 0.000 0.000
-2.809 4.866 0.000
0.000 0.000 13.781
Ac Ga Hg
6 4 2
direct
0.000 0.000 0.242
0.000 0.000 0.758
0.333 0.667 0.416
0.333 0.667 0.923
0.667 0.333 0.077
0.667 0.333 0.584
0.000 0.000 0.000
0.000 0.000 0.500
0.333 0.667 0.170
0.667 0.333 0.830
0.333 0.667 0.672
0.667 0.333 0.328
```

Summary:
- energy (eV per cell) = -42.6
- relative energy among the computed polymorphs (meV/atom) = 12.6
- space-group type = P-3m1

=====

# 23
AcGa2Hg: relaxed, PBE.

The structure in POSCAR format:
```
AcGa2Hg
1.0
3.806 0.000 0.000
0.000 3.806 0.000
0.000 0.000 7.068
Ac Ga Hg
1 2 1
direct
0.000 0.000 0.000
0.500 0.500 0.304
0.500 0.500 0.696
0.000 0.000 0.500
```

Summary:
- energy (eV per cell) = -11.3
- relative energy among the computed polymorphs (meV/atom) = 265.3
- space-group type = P4/mmm